Below is a geometry-optimized CoSF structure, with properties calculated at the PBE+U level.

Uncorrected energy = -4.525 eV/atom
Total magnetization = 0.67 μB per atom
D(E_F) = 2.45 states/eV per cell

a = 10.074 Å, b = 10.074 Å, c = 10.074 Å
α = 18.42°, β = 18.42°, γ = 18.42°
Positions (direct):
Co  0.072  0.072  0.072
Co  0.928  0.928  0.928
S  0.215  0.215  0.215
S  0.785  0.785  0.785
F  0.372  0.372  0.372
F  0.628  0.628  0.628